i:
GGA-PBE SmGdAl, optimized geometry; space-group type = P3m1, No. 156
1.0
-0.268 -2.454 2.622
1.457 -3.652 -3.269
3.503 2.534 2.729
Gd Al Sm
1 1 1
direct
0.950 0.000 0.000 Gd
0.675 0.667 0.333 Al
0.375 0.333 0.667 Sm

***

ii:
GGA-PBE SmGdAl, optimized geometry; space-group type = F-43m, No. 216
1.0
-3.284 3.649 -1.445
-2.672 -0.532 -4.332
-5.039 -0.871 0.192
Gd Al Sm
1 1 1
direct
0.000 0.000 0.000 Gd
0.250 0.250 0.250 Al
0.500 0.500 0.500 Sm

***

Which structure is the least stable? The one labeled ii.